VASP calculation (GGA-PBE) on a geometry-optimized SmSbPdRh structure.

Geometry as POSCAR:
```
SmSbPdRh
1.0
4.821 0.000 0.000
2.411 4.175 0.000
2.411 1.392 3.937
Sm Pd Rh Sb
1 1 1 1
direct
0.000 0.000 0.000
0.750 0.750 0.750
0.250 0.250 0.250
0.500 0.500 0.500
```

Output
E_tot, eV/atom: -6.06
DOS(E_F), states/eV/cell: 3.68
Theoretical density, g cm⁻³: 10.09
Formation energy (no corrections), eV per atom: -0.709

***

VASP calculation (GGA-PBE) on a geometry-optimized SnSbPdRh structure.

Geometry as POSCAR:
```
SnSbPdRh
1.0
4.704 0.000 0.000
2.352 4.074 0.000
2.352 1.358 3.841
Sn Rh Pd Sb
1 1 1 1
direct
0.250 0.250 0.250
0.500 0.500 0.500
0.000 0.000 0.000
0.750 0.750 0.750
```

Output
E_tot, eV/atom: -5.40
DOS(E_F), states/eV/cell: 3.40
Theoretical density, g cm⁻³: 10.15
Formation energy (no corrections), eV per atom: -0.236

***

VASP calculation (GGA-PBE) on a geometry-optimized Sr2Sb3PdRh4 structure.

Geometry as POSCAR:
```
Sr2Sb3PdRh4
1.0
4.445 0.000 0.000
0.000 4.445 0.000
0.000 0.000 10.958
Rh Sr Sb Pd
4 2 3 1
direct
0.500 0.000 0.633
0.500 0.500 0.000
0.000 0.500 0.367
0.000 0.000 0.000
0.000 0.500 0.741
0.500 0.000 0.259
0.500 0.000 0.868
0.000 0.000 0.500
0.000 0.500 0.132
0.500 0.500 0.500
```

Output
E_tot, eV/atom: -5.67
DOS(E_F), states/eV/cell: 8.73
Theoretical density, g cm⁻³: 8.12
Formation energy (no corrections), eV per atom: -0.634

***

VASP calculation (GGA-PBE) on a geometry-optimized SrSb2PdRh structure.

Geometry as POSCAR:
```
SrSb2PdRh
1.0
4.659 0.000 0.000
0.000 4.659 0.000
-2.330 -2.330 5.502
Sr Rh Sb Pd
1 1 2 1
direct
0.000 0.000 0.000
0.750 0.250 0.500
0.636 0.636 0.271
0.364 0.364 0.729
0.250 0.750 0.500
```

Output
E_tot, eV/atom: -5.19
DOS(E_F), states/eV/cell: 3.22
Theoretical density, g cm⁻³: 7.51
Formation energy (no corrections), eV per atom: -0.696

***

VASP calculation (GGA-PBE) on a geometry-optimized Sr2Sb4PdRh3 structure.

Geometry as POSCAR:
```
Sr2Sb4PdRh3
1.0
4.647 0.000 0.000
0.000 4.647 0.000
0.000 0.000 10.585
Sr Sb Pd Rh
2 4 1 3
direct
0.000 0.500 0.748
0.500 0.000 0.252
0.000 0.500 0.372
0.000 0.000 0.000
0.500 0.500 0.000
0.500 0.000 0.628
0.500 0.500 0.500
0.000 0.000 0.500
0.500 0.000 0.877
0.000 0.500 0.123
```

Output
E_tot, eV/atom: -5.44
DOS(E_F), states/eV/cell: 5.53
Theoretical density, g cm⁻³: 7.83
Formation energy (no corrections), eV per atom: -0.730

***

VASP calculation (GGA-PBE) on a geometry-optimized TaSbPd2Rh structure.

Geometry as POSCAR:
```
TaSbPd2Rh
1.0
4.767 0.000 0.000
0.000 5.246 0.000
0.000 0.000 4.767
Pd Rh Sb Ta
2 1 1 1
direct
0.000 0.000 0.500
0.500 0.000 0.000
0.500 0.500 0.500
0.000 0.500 0.000
0.000 0.000 0.000
```

Output
E_tot, eV/atom: -5.61
DOS(E_F), states/eV/cell: 4.74
Theoretical density, g cm⁻³: 8.62
Formation energy (no corrections), eV per atom: 1.134

***

VASP calculation (GGA-PBE) on a geometry-optimized TbSbPdRh structure.

Geometry as POSCAR:
```
TbSbPdRh
1.0
4.775 0.000 0.000
2.387 4.135 0.000
2.387 1.378 3.899
Pd Sb Tb Rh
1 1 1 1
direct
0.000 0.000 0.000
0.250 0.250 0.250
0.750 0.750 0.750
0.500 0.500 0.500
```

Output
E_tot, eV/atom: -6.08
DOS(E_F), states/eV/cell: 3.31
Theoretical density, g cm⁻³: 10.57
Formation energy (no corrections), eV per atom: -0.760

***

VASP calculation (GGA-PBE) on a geometry-optimized SbTe2PdRh structure.

Geometry as POSCAR:
```
SbTe2PdRh
1.0
5.276 0.000 0.000
0.000 5.276 0.000
0.000 0.000 4.938
Te Rh Pd Sb
2 1 1 1
direct
0.500 0.000 0.000
0.000 0.500 0.000
0.000 0.000 0.000
0.500 0.500 0.500
0.000 0.000 0.500
```

Output
E_tot, eV/atom: -4.10
DOS(E_F), states/eV/cell: 3.76
Theoretical density, g cm⁻³: 7.08
Relative energy among the computed polymorphs, meV/atom: 0
Formation energy (no corrections), eV per atom: 0.489

***

VASP calculation (GGA-PBE) on a geometry-optimized ThSbPdRh structure.

Geometry as POSCAR:
```
ThSbPdRh
1.0
-0.434 -2.075 4.429
-3.906 -2.790 1.032
0.515 -4.857 0.497
Pd Rh Th Sb
1 1 1 1
direct
0.000 0.000 0.000
0.500 0.500 0.500
0.250 0.250 0.250
0.750 0.750 0.750
```

Output
E_tot, eV/atom: -6.74
DOS(E_F), states/eV/cell: 1.64
Theoretical density, g cm⁻³: 11.17
Formation energy (no corrections), eV per atom: -0.715

***

VASP calculation (GGA-PBE) on a geometry-optimized USbPdRh structure.

Geometry as POSCAR:
```
USbPdRh
1.0
4.796 0.000 0.000
2.398 4.153 0.000
2.398 1.384 3.916
Sb Pd U Rh
1 1 1 1
direct
0.500 0.500 0.500
0.750 0.750 0.750
0.000 0.000 0.000
0.250 0.250 0.250
```

Output
E_tot, eV/atom: -7.40
DOS(E_F), states/eV/cell: 5.71
Theoretical density, g cm⁻³: 12.12
Formation energy (no corrections), eV per atom: -0.412

***

VASP calculation (GGA-PBE) on a geometry-optimized ZnSbPdRh structure.

Geometry as POSCAR:
```
ZnSbPdRh
1.0
-2.531 -0.298 3.720
-0.974 -4.041 1.747
1.867 -1.280 3.900
Pd Rh Zn Sb
1 1 1 1
direct
0.750 0.750 0.750
0.250 0.250 0.250
0.000 0.000 0.000
0.500 0.500 0.500
```

Output
E_tot, eV/atom: -4.84
DOS(E_F), states/eV/cell: 2.12
Theoretical density, g cm⁻³: 10.16
Formation energy (no corrections), eV per atom: -0.356

***

VASP calculation (GGA-PBE) on a geometry-optimized ZrSbPdRh structure.

Geometry as POSCAR:
```
ZrSbPdRh
1.0
4.673 0.000 0.000
2.337 4.047 0.000
2.337 1.349 3.816
Zr Sb Pd Rh
1 1 1 1
direct
0.250 0.250 0.250
0.750 0.750 0.750
0.000 0.000 0.000
0.500 0.500 0.500
```

Output
E_tot, eV/atom: -6.95
DOS(E_F), states/eV/cell: 1.35
Theoretical density, g cm⁻³: 9.72
Formation energy (no corrections), eV per atom: -0.643

***

VASP calculation (GGA-PBE) on a geometry-optimized Sc6Pd2Rh structure.

Geometry as POSCAR:
```
Sc6Pd2Rh
1.0
-0.159 -7.795 0.163
5.556 2.305 4.963
-6.833 3.083 2.152
Pd Sc Rh
4 12 2
direct
0.656 0.000 0.656
0.500 0.643 0.143
0.500 0.357 0.857
0.344 0.000 0.344
0.718 0.388 0.670
0.718 0.049 0.330
0.282 0.612 0.330
0.189 0.259 0.448
0.438 0.262 0.176
0.282 0.951 0.670
0.189 0.741 0.931
0.086 0.262 0.824
0.811 0.259 0.069
0.562 0.738 0.824
0.811 0.741 0.552
0.914 0.738 0.176
0.000 0.000 0.000
0.000 0.500 0.500
```

Output
E_tot, eV/atom: -6.81
ΔE_f, meV per atom: -615
DOS(E_F), states/eV/cell: 16.15
Theoretical density, g cm⁻³: 5.33

***

VASP calculation (GGA-PBE) on a geometry-optimized Sc5PdRh4 structure.

Geometry as POSCAR:
```
Sc5PdRh4
1.0
3.204 0.000 0.000
0.000 3.204 0.000
0.000 0.000 16.637
Sc Rh Pd
5 4 1
direct
0.500 0.500 0.104
0.500 0.500 0.302
0.500 0.500 0.698
0.500 0.500 0.896
0.500 0.500 0.500
0.000 0.000 0.599
0.000 0.000 0.202
0.000 0.000 0.798
0.000 0.000 0.401
0.000 0.000 0.000
```

Output
E_tot, eV/atom: -7.62
ΔE_f, meV per atom: -998
DOS(E_F), states/eV/cell: 2.92
Theoretical density, g cm⁻³: 7.22

***

VASP calculation (GGA-PBE) on a geometry-optimized Sc2Pd2Rh structure.

Geometry as POSCAR:
```
Sc2Pd2Rh
1.0
7.246 0.000 0.000
0.000 7.246 0.000
0.000 0.000 3.384
Pd Sc Rh
4 4 2
direct
0.862 0.362 0.500
0.138 0.638 0.500
0.638 0.862 0.500
0.362 0.138 0.500
0.335 0.835 0.000
0.165 0.335 0.000
0.665 0.165 0.000
0.835 0.665 0.000
0.000 0.000 0.000
0.500 0.500 0.000
```

Output
E_tot, eV/atom: -6.71
ΔE_f, meV per atom: -633
DOS(E_F), states/eV/cell: 5.89
Theoretical density, g cm⁻³: 7.58
Relative energy among the computed polymorphs, meV/atom: 163

***

VASP calculation (GGA-PBE) on a geometry-optimized ScPd3Rh structure.

Geometry as POSCAR:
```
ScPd3Rh
1.0
-0.333 -3.780 2.920
-0.301 -2.905 -3.795
4.767 -0.448 -0.036
Pd Sc Rh
3 1 1
direct
0.500 0.000 0.000
0.000 0.500 0.000
0.000 0.000 0.500
0.500 0.500 0.500
0.000 0.000 0.000
```

Output
E_tot, eV/atom: -5.21
ΔE_f, meV per atom: 640
DOS(E_F), states/eV/cell: 8.46
Theoretical density, g cm⁻³: 7.07
Relative energy among the computed polymorphs, meV/atom: 0

***

VASP calculation (GGA-PBE) on a geometry-optimized Sc5Pd2Rh structure.

Geometry as POSCAR:
```
Sc5Pd2Rh
1.0
4.628 0.000 0.000
0.000 6.085 0.000
0.000 0.000 11.076
Pd Sc Rh
4 10 2
direct
0.500 0.108 0.359
0.500 0.892 0.641
0.500 0.392 0.859
0.500 0.608 0.141
0.000 0.348 0.282
0.000 0.500 0.000
0.500 0.170 0.104
0.000 0.000 0.500
0.000 0.848 0.218
0.000 0.152 0.782
0.000 0.652 0.718
0.500 0.670 0.396
0.500 0.830 0.896
0.500 0.330 0.604
0.000 0.000 0.000
0.000 0.500 0.500
```

Output
E_tot, eV/atom: -6.89
ΔE_f, meV per atom: -718
DOS(E_F), states/eV/cell: 11.50
Theoretical density, g cm⁻³: 5.75

***

VASP calculation (GGA-PBE) on a geometry-optimized Sc2Pd2Rh structure.

Geometry as POSCAR:
```
Sc2Pd2Rh
1.0
3.156 0.000 0.000
0.000 3.394 0.643
0.000 0.192 8.263
Pd Sc Rh
2 2 1
direct
0.000 0.184 0.631
0.000 0.816 0.369
0.500 0.401 0.198
0.500 0.599 0.802
0.000 0.000 0.000
```

Output
E_tot, eV/atom: -6.88
ΔE_f, meV per atom: -796
DOS(E_F), states/eV/cell: 3.01
Theoretical density, g cm⁻³: 7.65
Relative energy among the computed polymorphs, meV/atom: 0

***

VASP calculation (GGA-PBE) on a geometry-optimized ScPd3Rh structure.

Geometry as POSCAR:
```
ScPd3Rh
1.0
4.650 0.000 0.000
0.000 4.650 0.000
0.000 0.000 4.650
Pd Sc Rh
3 1 1
direct
0.000 0.500 0.000
0.000 0.000 0.500
0.500 0.000 0.000
0.000 0.000 0.000
0.500 0.500 0.500
```

Output
E_tot, eV/atom: -5.15
ΔE_f, meV per atom: 698
DOS(E_F), states/eV/cell: 4.61
Theoretical density, g cm⁻³: 7.71
Relative energy among the computed polymorphs, meV/atom: 58

***

VASP calculation (GGA-PBE) on a geometry-optimized Sc2PdRh structure.

Geometry as POSCAR:
```
Sc2PdRh
1.0
2.652 -1.940 -4.759
-2.352 -3.120 4.262
-4.723 2.024 2.653
Sc Pd Rh
2 1 1
direct
0.000 0.245 0.245
0.000 0.755 0.755
0.000 0.500 0.500
0.000 0.000 0.000
```

Output
E_tot, eV/atom: -6.30
ΔE_f, meV per atom: 5
DOS(E_F), states/eV/cell: 4.11
Theoretical density, g cm⁻³: 6.63